VASP calculation (PBE-GGA) on a relaxed structure of Rb3Ag.

Its energy above the most stable polymorph in this dataset is 0.098 eV per atom. For the volume, the calculation gives 54.612 A^3/atom. The raw total energy comes out at -5.2 eV/f.u. As for the density: 2.77 g/cm³. The crystal system is tetragonal. As for the energy of formation: 0.14 eV per atom.

It has space group I4/mmm (No. 139), with a = 6.6887 Å, b = 6.6887 Å, c = 9.7655 Å, α = 90.00°, β = 90.00° and γ = 90.00°. The distinct sites, in fractional coordinates, are Rb at (0.0000, 0.0000, 0.0000), Rb at (0.0000, 0.5000, 0.2500) and Ag at (0.0000, 0.0000, 0.5000).